## HoZn3 (PBE-GGA)

Data for HoZn3 after structural relaxation.

calculated formation energy: -0.353 eV per atom
theoretical density: 8186 kg/m3
calculated total energy: -2.4533 eV/atom
density of states at the Fermi level: 6.6 states/eV per cell
calculated volume: 293.05 Å³ per cell

Geometry as CIF:
```
data_HoZn3
_chemical_formula_sum 'Ho4 Zn12'
_symmetry_space_group_name_H-M 'P n m a'
_symmetry_Int_Tables_number 62
_symmetry_space_group_name_Hall '-P 2ac 2n'
_cell_length_a 6.682
_cell_length_b 4.364
_cell_length_c 10.050
_cell_angle_alpha 90.00
_cell_angle_beta 90.00
_cell_angle_gamma 90.00
loop_
_atom_site_label
_atom_site_fract_x
_atom_site_fract_y
_atom_site_fract_z
Ho1 0.220 0.250 0.162
Zn1 0.036 0.750 0.396
Zn2 0.082 0.250 0.852
Zn3 0.218 0.750 0.956
```

***

## BaBiH (PBE-GGA)

Data for BaBiH after structural relaxation.

theoretical density: 4878 kg/m3
calculated total energy: -3.4126 eV/atom
density of states at the Fermi level: 0.0 states/eV per cell
calculated volume: 472.96 Å³ per cell

Geometry as CIF:
```
data_BaBiH
_chemical_formula_sum 'Ba4 Bi4 H4'
_symmetry_space_group_name_H-M 'P n m a'
_symmetry_Int_Tables_number 62
_symmetry_space_group_name_Hall '-P 2ac 2n'
_cell_length_a 7.208
_cell_length_b 6.103
_cell_length_c 10.752
_cell_angle_alpha 90.00
_cell_angle_beta 90.00
_cell_angle_gamma 90.00
loop_
_atom_site_label
_atom_site_fract_x
_atom_site_fract_y
_atom_site_fract_z
Ba1 0.249 0.250 0.062
Bi1 0.242 0.250 0.389
H1 0.118 0.750 0.036
```

***

## TaZnIn2N4 (PBE-GGA)

Data for TaZnIn2N4 after structural relaxation.

theoretical density: 7328 kg/m3
formation energy without anion corrections: -0.189 eV/atom
calculated total energy: -6.6768 eV/atom
density of states at the Fermi level: 3.7 states/eV per cell
calculated volume: 241.11 Å³ per cell

Geometry as CIF:
```
data_TaZnIn2N4
_chemical_formula_sum 'Ta2 Zn2 In4 N8'
_symmetry_space_group_name_H-M 'I -4 2 m'
_symmetry_Int_Tables_number 121
_symmetry_space_group_name_Hall 'I -4 2'
_cell_length_a 4.909
_cell_length_b 4.909
_cell_length_c 10.006
_cell_angle_alpha 90.00
_cell_angle_beta 90.00
_cell_angle_gamma 90.00
loop_
_atom_site_label
_atom_site_fract_x
_atom_site_fract_y
_atom_site_fract_z
Ta1 0.000 0.000 0.000
Zn1 0.000 0.000 0.500
In1 0.000 0.500 0.250
N1 0.235 0.235 0.112
```

***

## Li2Ca2Cu (PBE-GGA)

Data for Li2Ca2Cu after structural relaxation.

calculated formation energy: 0.245 eV per atom
theoretical density: 1713 kg/m3
calculated total energy: -2.1401 eV/atom
density of states at the Fermi level: 6.2 states/eV per cell
calculated volume: 305.56 Å³ per cell

Geometry as CIF:
```
data_Li2Ca2Cu
_chemical_formula_sum 'Li4 Ca4 Cu2'
_symmetry_space_group_name_H-M 'P 4/m b m'
_symmetry_Int_Tables_number 127
_symmetry_space_group_name_Hall '-P 4 2ab'
_cell_length_a 7.733
_cell_length_b 7.733
_cell_length_c 5.110
_cell_angle_alpha 90.00
_cell_angle_beta 90.00
_cell_angle_gamma 90.00
loop_
_atom_site_label
_atom_site_fract_x
_atom_site_fract_y
_atom_site_fract_z
Li1 0.141 0.359 0.000
Ca1 0.168 0.668 0.500
Cu1 0.000 0.000 0.500
```

***

## Y3Os (PBE-GGA)

Data for Y3Os after structural relaxation.

calculated formation energy: 0.118 eV per atom
theoretical density: 7471 kg/m3
calculated total energy: -7.5378 eV/atom
density of states at the Fermi level: 4.1 states/eV per cell
calculated volume: 101.57 Å³ per cell

Geometry as CIF:
```
data_Y3Os
_chemical_formula_sum 'Y3 Os1'
_symmetry_space_group_name_H-M 'P 1 2/m 1'
_symmetry_Int_Tables_number 10
_symmetry_space_group_name_Hall '-P 2y'
_cell_length_a 3.570
_cell_length_b 4.539
_cell_length_c 6.477
_cell_angle_alpha 90.00
_cell_angle_beta 104.61
_cell_angle_gamma 90.00
loop_
_atom_site_label
_atom_site_fract_x
_atom_site_fract_y
_atom_site_fract_z
Y1 0.000 0.000 0.000
Y2 0.389 0.500 0.715
Os1 0.000 0.000 0.500
```

***

## BaTlB2Te (PBE-GGA)

Data for BaTlB2Te after structural relaxation.

theoretical density: 4445 kg/m3
formation energy without anion corrections: 1.917 eV/atom
calculated total energy: -2.2402 eV/atom
density of states at the Fermi level: 4.9 states/eV per cell
calculated volume: 183.40 Å³ per cell

Geometry as CIF:
```
data_BaTlB2Te
_chemical_formula_sum 'Ba1 Tl1 B2 Te1'
_symmetry_space_group_name_H-M 'P 4/m m m'
_symmetry_Int_Tables_number 123
_symmetry_space_group_name_Hall '-P 4 2'
_cell_length_a 5.273
_cell_length_b 5.273
_cell_length_c 6.595
_cell_angle_alpha 90.00
_cell_angle_beta 90.00
_cell_angle_gamma 90.00
loop_
_atom_site_label
_atom_site_fract_x
_atom_site_fract_y
_atom_site_fract_z
Ba1 0.000 0.000 0.000
Tl1 0.000 0.000 0.500
B1 0.000 0.500 0.000
Te1 0.500 0.500 0.500
```